Entry 1:
Entry from the Open Quantum Materials Database: a geometry-optimized TbPPtO structure (PBE-GGA).

The magnetization is 0.00 μB per formula unit. For the total energy, the calculation gives -7.1282 eV per atom.

The structure belongs to space group P4/nmm (No. 129, origin choice 2); the cell edges are 4.105, 4.105 and 7.745 Å and the angles 90.00°, 90.00° and 90.00°. Symmetry generates all atoms from Tb at (0.250, 0.250, 0.132), P at (0.250, 0.250, 0.663), Pt at (0.250, 0.750, 0.500) and O at (0.250, 0.750, 0.000).

Entry 2:
Entry from the Open Quantum Materials Database: a geometry-optimized Ho2TmSn3PdPt2 structure (PBE-GGA).

The magnetization is 0.00 μB per formula unit. For the total energy, the calculation gives -5.8159 eV per atom.

The structure belongs to space group Amm2 (No. 38); the cell edges are 3.986, 13.004 and 7.514 Å and the angles 90.00°, 90.00° and 90.00°. Symmetry generates all atoms from Ho at (0.000, 0.204, 0.000), Tm at (0.000, 0.000, 0.611), Sn at (0.500, 0.000, 0.945), Sn at (0.500, 0.129, 0.333), Pd at (0.000, 0.000, 0.204) and Pt at (0.500, 0.166, 0.704).

Entry 3:
Entry from the Open Quantum Materials Database: a geometry-optimized SrLiReOs structure (PBE-GGA).

The magnetization is 0.00 μB per formula unit. For the total energy, the calculation gives -6.0511 eV per atom.

The structure belongs to space group F-43m (No. 216); the cell edges are 6.502, 6.502 and 6.502 Å and the angles 90.00°, 90.00° and 90.00°. Symmetry generates all atoms from Sr at (0.000, 0.000, 0.000), Li at (0.250, 0.250, 0.250), Re at (0.250, 0.250, 0.750) and Os at (0.000, 0.000, 0.500).

Entry 4:
Entry from the Open Quantum Materials Database: a geometry-optimized CsRb2HfBr6 structure (PBE-GGA).

The magnetization is 1.00 μB per formula unit. For the total energy, the calculation gives -3.7433 eV per atom.

The structure belongs to space group Fm-3m (No. 225); the cell edges are 11.949, 11.949 and 11.949 Å and the angles 90.00°, 90.00° and 90.00°. Symmetry generates all atoms from Cs at (0.000, 0.000, 0.000), Rb at (0.250, 0.250, 0.250), Hf at (0.000, 0.000, 0.500) and Br at (0.000, 0.000, 0.278).

Entry 5:
Entry from the Open Quantum Materials Database: a geometry-optimized CdGeSb structure (PBE-GGA).

For the total energy, the calculation gives -3.0276 eV per atom.

The structure belongs to space group Pnma (No. 62); the cell edges are 6.912, 4.350 and 9.882 Å and the angles 90.00°, 90.00° and 90.00°. Symmetry generates all atoms from Cd at (0.011, 0.250, 0.193), Ge at (0.231, 0.750, 0.402) and Sb at (0.188, 0.250, 0.602).

Entry 6:
Entry from the Open Quantum Materials Database: a geometry-optimized Nb4Co5As5 structure (PBE-GGA).

The magnetization is 0.01 μB per formula unit. For the total energy, the calculation gives -7.5699 eV per atom.

The structure belongs to space group I-4 (No. 82); the cell edges are 8.922, 8.922 and 5.698 Å and the angles 90.00°, 90.00° and 90.00°. Symmetry generates all atoms from Nb at (0.098, 0.300, 0.002), Co at (0.000, 0.500, 0.750), Co at (0.106, 0.791, 0.238), As at (0.000, 0.000, 0.000) and As at (0.094, 0.287, 0.502).

Repeat the first record exactly.
Entry from the Open Quantum Materials Database: a geometry-optimized TbPPtO structure (PBE-GGA).

The magnetization is 0.00 μB per formula unit. For the total energy, the calculation gives -7.1282 eV per atom.

The structure belongs to space group P4/nmm (No. 129, origin choice 2); the cell edges are 4.105, 4.105 and 7.745 Å and the angles 90.00°, 90.00° and 90.00°. Symmetry generates all atoms from Tb at (0.250, 0.250, 0.132), P at (0.250, 0.250, 0.663), Pt at (0.250, 0.750, 0.500) and O at (0.250, 0.750, 0.000).